Computed, not measured: Na6LiCd after structural relaxation at the PBE level of DFT.

Lattice parameters (Å, degrees): 21.6950 4.8429 4.8567 90.00 102.47 90.00
Closest atoms and distances in Å follow each position.
Space group C2/m (No. 12)
Inequivalent atoms, fractional coordinates:
Na1 0.1100 0.0000 0.1103 [4 per cell]  2 Li 3.35-3.38, 2 Cd 3.36, 4 Na 3.43
Na2 0.1100 0.5000 0.6099 [4 per cell]  2 Cd 3.35-3.38, 2 Li 3.36, 4 Na 3.43
Na3 0.2491 0.0000 0.7487 [4 per cell]  9 Na 3.43-3.83
Li1 0.0000 0.0000 0.5000 [2 per cell]  8 Na 3.35-3.38, 4 Cd 3.43
Cd1 0.0000 0.5000 0.0000 [2 per cell]  8 Na 3.35-3.38, 4 Li 3.43

Calculated values
raw total energy = -1.348 eV per atom
excess energy over the best structure of this formula in the dataset = 0.00 eV/f.u.
DFT formation energy = -0.04 eV/f.u.
V = 31.140 Å³ per atom